This record from the Alexandria database describes crystalline Dy2Fe17H3 at its relaxed geometry. The functional is GGA-PBEsol.

a b c (Å): 7.973 8.294 8.294
angles (deg): 120.00 90.00 90.00
Last column: magnetic moment on the atom in μB.
Atoms (fractional coordinates):
Fe1 0.393 0.667 0.333  2.32
Fe2 0.750 0.621 0.672  1.54
Fe3 0.515 0.833 0.167  1.81
Dy1 0.750 0.000 0.000  -0.30
H1 0.750 0.835 0.670  -0.02
Dy2 0.250 0.333 0.667  -0.31
Fe4 0.485 0.167 0.833  1.81
H2 0.750 0.330 0.165  -0.02
Fe5 0.500 0.500 0.000  1.65
Fe6 0.750 0.328 0.379  1.54
Fe7 0.015 0.167 0.333  1.81
Fe8 0.250 0.950 0.328  1.54
Fe9 0.485 0.667 0.833  1.81
Dy3 0.750 0.667 0.333  -0.31
Fe10 0.985 0.833 0.667  1.81
Fe11 0.485 0.167 0.333  1.81
Fe12 0.250 0.672 0.050  1.54
Fe13 0.015 0.667 0.833  1.81
Fe14 0.000 0.000 0.500  1.65
Fe15 0.985 0.333 0.167  1.81
H3 0.250 0.165 0.835  -0.02
H4 0.250 0.670 0.835  -0.02
Fe16 0.750 0.621 0.950  1.54
Fe17 0.893 0.333 0.667  2.32
Fe18 0.250 0.950 0.621  1.54
Fe19 0.500 0.000 0.500  1.65
Fe20 0.250 0.379 0.328  1.54
Fe21 0.750 0.328 0.950  1.54
Dy4 0.250 0.000 0.000  -0.30
Fe22 0.515 0.333 0.167  1.81
Fe23 0.607 0.333 0.667  2.32
Fe24 0.015 0.167 0.833  1.81
Fe25 0.985 0.833 0.167  1.81
H5 0.250 0.165 0.330  -0.02
Fe26 0.000 0.500 0.500  1.65
Fe27 0.750 0.050 0.672  1.54
Fe28 0.000 0.500 0.000  1.65
H6 0.750 0.835 0.165  -0.02
Fe29 0.250 0.379 0.050  1.54
Fe30 0.500 0.500 0.500  1.65
Fe31 0.107 0.667 0.333  2.32
Fe32 0.250 0.672 0.621  1.54
Fe33 0.515 0.833 0.667  1.81
Fe34 0.750 0.050 0.379  1.54

Summary:
SG: P6_3/mmc, No. 194
E_tot (eV/atom): -7.898


This record from the Alexandria database describes crystalline Y5Ru3 at its relaxed geometry. The functional is GGA-PBEsol.

a b c (Å): 5.991 8.217 8.217
angles (deg): 82.36 68.62 68.62
Atoms (fractional coordinates):
Ru1 0.155 0.189 0.500
Y1 0.791 0.128 0.290
Y2 0.419 0.872 0.290
Y3 0.081 0.710 0.128
Ru2 0.250 0.000 0.000
Ru3 0.655 0.500 0.189
Y4 0.291 0.290 0.128
Y5 0.750 0.500 0.500
Y6 0.209 0.872 0.710
Ru4 0.845 0.811 0.500
Ru5 0.750 0.000 0.000
Y7 0.709 0.710 0.872
Y8 0.250 0.500 0.500
Y9 0.919 0.290 0.872
Y10 0.581 0.128 0.710
Ru6 0.345 0.500 0.811

Summary:
Distance to the lowest polymorph of the same formula (kJ/mol of atoms): 3.28
SG: I4/mcm, No. 140
Energy relative to the elements (eV/f.u.): -1.88


This record from the Alexandria database describes crystalline AlPt2 at its relaxed geometry. The functional is GGA-PBEsol.

a b c (Å): 5.194 5.194 5.194
angles (deg): 60.00 60.00 60.00
Atoms (fractional coordinates):
Pt1 0.125 0.625 0.125
Pt2 0.625 0.125 0.125
Pt3 0.125 0.125 0.125
Al1 0.750 0.750 0.750
Pt4 0.125 0.125 0.625
Al2 0.500 0.500 0.500

Summary:
SG: Fd-3m, No. 227
Energy relative to the elements (eV/f.u.): -0.55


This record from the Alexandria database describes crystalline LiNiP2O7 at its relaxed geometry. The functional is GGA-PBEsol.

a b c (Å): 6.040 6.040 13.523
angles (deg): 77.27 77.27 80.57
Last column: magnetic moment on the atom in μB.
Atoms (fractional coordinates):
O1 0.146 0.656 0.026  0.02
Ni1 0.139 0.416 0.364  0.75
Ni2 0.861 0.584 0.636  0.75
O2 0.521 0.205 0.711  0.10
Ni3 0.584 0.861 0.136  0.75
O3 0.597 0.611 0.583  0.04
O4 0.550 0.184 0.122  0.01
O5 0.824 0.879 0.666  -0.01
Li1 0.219 0.212 0.675  0.00
Li2 0.781 0.788 0.325  0.00
P1 0.871 0.274 0.867  0.01
O6 0.121 0.176 0.834  -0.01
Li3 0.212 0.219 0.175  0.00
O7 0.854 0.344 0.974  0.02
O8 0.077 0.720 0.384  0.01
O9 0.205 0.521 0.211  0.10
Ni4 0.416 0.139 0.864  0.75
O10 0.795 0.479 0.789  0.10
O11 0.656 0.146 0.526  0.02
O12 0.081 0.704 0.847  0.02
O13 0.280 0.923 0.116  0.01
O14 0.176 0.121 0.334  -0.01
O15 0.879 0.824 0.166  -0.01
P2 0.726 0.129 0.633  0.01
P3 0.274 0.871 0.367  0.01
O16 0.720 0.077 0.884  0.01
P4 0.650 0.265 0.407  0.00
O17 0.389 0.403 0.917  0.04
O18 0.816 0.450 0.378  0.01
O19 0.919 0.296 0.153  0.02
P5 0.350 0.735 0.593  0.00
O20 0.450 0.816 0.878  0.01
Li4 0.788 0.781 0.825  0.00
O21 0.611 0.597 0.083  0.04
O22 0.296 0.919 0.653  0.02
O23 0.184 0.550 0.622  0.01
O24 0.403 0.389 0.417  0.04
P6 0.735 0.350 0.093  0.00
P7 0.129 0.726 0.133  0.01
O25 0.704 0.081 0.347  0.02
O26 0.479 0.795 0.289  0.10
P8 0.265 0.650 0.907  0.00
O27 0.344 0.854 0.474  0.02
O28 0.923 0.280 0.616  0.01

Summary:
Energy relative to the elements, uncorrected (eV per atom): -1.8170
Distance to the lowest polymorph of the same formula (kJ/mol of atoms): 4.81
SG: C2/c, No. 15


This record from the Alexandria database describes crystalline Zr2TaP at its relaxed geometry. The functional is GGA-PBEsol.

a b c (Å): 3.333 3.333 8.295
angles (deg): 78.41 78.41 60.00
Atoms (fractional coordinates):
Zr1 0.767 0.767 0.700
P1 0.504 0.504 0.489
Ta1 0.233 0.233 0.301
Zr2 0.997 0.997 0.010

Summary:
SG: R3m, No. 160
Energy relative to the elements (eV/f.u.): -1.68


This record from the Alexandria database describes crystalline SnP2SO at its relaxed geometry. The functional is GGA-PBEsol.

a b c (Å): 3.833 3.833 6.024
angles (deg): 90.00 90.00 90.00
Atoms (fractional coordinates):
S1 0.000 0.000 0.500
P1 0.000 0.500 0.000
P2 0.500 0.000 0.000
O1 0.000 0.000 0.000
Sn1 0.500 0.500 0.500

Summary:
Energy relative to the elements, uncorrected (eV per atom): 0.2547
Distance to the lowest polymorph of the same formula (kJ/mol of atoms): 0.00
SG: P4/mmm, No. 123


This record from the Alexandria database describes crystalline Na2MgOsRh at its relaxed geometry. The functional is GGA-PBEsol.

a b c (Å): 4.610 4.610 4.787
angles (deg): 90.00 90.00 90.00
Last column: magnetic moment on the atom in μB.
Atoms (fractional coordinates):
Na1 0.500 0.000 0.000  -0.01
Os1 0.000 0.000 0.500  1.09
Rh1 0.500 0.500 0.500  0.95
Na2 0.000 0.500 0.000  -0.01
Mg1 0.000 0.000 0.000  0.00

Summary:
SG: P4/mmm, No. 123
Energy relative to the elements (eV/f.u.): 9.00


This record from the Alexandria database describes crystalline K2ZnGeF at its relaxed geometry. The functional is GGA-PBEsol.

a b c (Å): 3.978 6.413 6.413
angles (deg): 90.00 90.00 90.00
Last column: magnetic moment on the atom in μB.
Atoms (fractional coordinates):
K1 0.000 0.000 0.500  0.02
K2 0.000 0.500 0.000  0.02
F1 0.500 0.000 0.000  0.00
Zn1 0.000 0.000 0.000  0.01
Ge1 0.500 0.500 0.500  0.46

Summary:
Energy relative to the elements, uncorrected (eV per atom): -0.1922
SG: P4/mmm, No. 123


This record from the Alexandria database describes crystalline RbPOsCl2 at its relaxed geometry. The functional is GGA-PBEsol.

a b c (Å): 4.430 5.097 5.097
angles (deg): 90.00 90.00 90.00
Atoms (fractional coordinates):
Cl1 0.000 0.000 0.500
P1 0.500 0.000 0.000
Os1 0.000 0.000 0.000
Cl2 0.000 0.500 0.000
Rb1 0.500 0.500 0.500

Summary:
Energy relative to the elements, uncorrected (eV per atom): -0.3279
SG: P4/mmm, No. 123


This record from the Alexandria database describes crystalline CrFe3 at its relaxed geometry. The functional is GGA-PBEsol.

a b c (Å): 2.403 2.403 7.899
angles (deg): 90.00 90.00 108.41
Last column: magnetic moment on the atom in μB.
Atoms (fractional coordinates):
Fe1 0.000 0.000 0.500  2.29
Cr1 0.000 0.000 0.000  -0.23
Fe2 0.500 0.500 0.751  1.99
Fe3 0.500 0.500 0.249  1.99

Summary:
SG: Cmmm, No. 65
Energy relative to the elements (eV/f.u.): 0.19


This record from the Alexandria database describes crystalline BaSiNi3 at its relaxed geometry. The functional is GGA-PBEsol.

a b c (Å): 4.774 4.774 4.774
angles (deg): 90.00 90.00 90.00
Atoms (fractional coordinates):
Si1 0.500 0.500 0.500
Ni1 0.000 0.000 0.500
Ba1 0.000 0.000 0.000
Ni2 0.000 0.500 0.000
Ni3 0.500 0.000 0.000

Summary:
Energy relative to the elements, uncorrected (eV per atom): 2.0142
SG: Pm-3m, No. 221


This record from the Alexandria database describes crystalline Ti2FeS4 at its relaxed geometry. The functional is GGA-PBEsol.

a b c (Å): 3.317 5.666 6.391
angles (deg): 116.94 105.04 90.00
Atoms (fractional coordinates):
Ti1 0.256 0.247 0.512
Ti2 0.744 0.753 0.488
S1 0.110 0.777 0.220
S2 0.615 0.274 0.229
Fe1 0.000 0.000 0.000
S3 0.890 0.223 0.780
S4 0.385 0.726 0.771

Summary:
Energy relative to the elements, uncorrected (eV per atom): -1.2434
SG: C2/m, No. 12


For each record above, in turn, the calculated D(E_F) values are 48.1; 9.5; 6.0; 3.0; 4.0; 2.7; 5.0; 2.7; 3.5; 3.4; 4.5; 3.4 states/eV per cell.